Material: EuDySn
Method: DFT, PBE
State: optimized geometry

Cell lengths 5.2990, 5.2990, 3.7699 Å; angles 90.00, 90.00, 120.00 degrees
Space group P3m1 (No. 156)
Asymmetric unit:
Eu 0.0000 0.0000 0.0000 (multiplicity 1)
Dy 0.3333 0.6667 0.5556 (multiplicity 1)
Sn 0.6667 0.3333 0.3722 (multiplicity 1)

- Total moment: 7.6 μB per formula unit
- Energy above the most stable polymorph in this dataset: 30 meV per atom
- E_tot: -6.67 eV/atom
- Formation energy from the elements: -36.01 kJ/mol of atoms



Material: HfNpTiGa
Method: DFT, PBE
State: optimized geometry

Cell lengths 6.7643, 6.7643, 6.7643 Å; angles 90.00, 90.00, 90.00 degrees
Space group F-43m (No. 216)
Asymmetric unit:
Hf 0.0000 0.0000 0.0000 (multiplicity 4)
Np 0.2500 0.2500 0.7500 (multiplicity 4)
Ti 0.0000 0.0000 0.5000 (multiplicity 4)
Ga 0.2500 0.2500 0.2500 (multiplicity 4)

- Total moment: 5.1 μB per formula unit
- E_tot: -8.31 eV/atom
- Formation energy from the elements: 13.66 kJ/mol of atoms



Material: TiInSe2Br
Method: DFT, PBE
State: optimized geometry

Cell lengths 4.9834, 4.9834, 5.3360 Å; angles 90.00, 90.00, 90.00 degrees
Space group P4/mmm (No. 123)
Asymmetric unit:
Ti 0.0000 0.0000 0.0000 (multiplicity 1)
In 0.5000 0.5000 0.5000 (multiplicity 1)
Se 0.0000 0.5000 0.0000 (multiplicity 2)
Br 0.0000 0.0000 0.5000 (multiplicity 1)

- Energy relative to the elements, uncorrected: -3.38 eV/f.u.
- Total moment: 0.0 μB per formula unit
- Energy above the most stable polymorph in this dataset: 0 meV per atom
- E_tot: -4.53 eV/atom



Material: TcP2Pt
Method: DFT, PBE
State: optimized geometry

Cell lengths 2.9547, 2.9547, 22.6420 Å; angles 90.00, 90.00, 120.00 degrees
Space group R-3m (No. 166, hexagonal axes)
Asymmetric unit:
Tc 0.0000 0.0000 0.0000 (multiplicity 3)
P 0.0000 0.0000 0.2565 (multiplicity 6)
Pt 0.0000 0.0000 0.5000 (multiplicity 3)

- Total moment: 0.0 μB per formula unit
- Energy above the most stable polymorph in this dataset: 204 meV per atom
- E_tot: -7.00 eV/atom
- Formation energy from the elements: -18.48 kJ/mol of atoms



Material: Y3Os2
Method: DFT, PBE
State: optimized geometry

Cell lengths 5.8345, 10.2305, 14.5686 Å; angles 90.00, 90.00, 90.00 degrees
Space group Fddd (No. 70, origin choice 2)
Asymmetric unit:
Y 0.1250 0.1250 0.0133 (multiplicity 16)
Y 0.1250 0.1250 0.6250 (multiplicity 8)
Os 0.1250 0.1250 0.4234 (multiplicity 16)

- Total moment: 0.0 μB per formula unit
- Energy above the most stable polymorph in this dataset: 0 meV per atom
- E_tot: -8.22 eV/atom
- Formation energy from the elements: 14.56 kJ/mol of atoms



Material: Pr6Pt2SCl3
Method: DFT, PBE
State: optimized geometry

Cell lengths 7.4103, 12.7778, 7.4227 Å; angles 90.00, 109.21, 90.00 degrees
Space group C2/m (No. 12)
Asymmetric unit:
Pr 0.2277 0.0000 0.2156 (multiplicity 4)
Pr 0.2473 0.3282 0.2228 (multiplicity 8)
Pt 0.0000 0.1684 0.0000 (multiplicity 4)
S 0.0000 0.5000 0.0000 (multiplicity 2)
Cl 0.0000 0.0000 0.5000 (multiplicity 2)
Cl 0.0000 0.3455 0.5000 (multiplicity 4)

- Energy relative to the elements, uncorrected: -17.31 eV/f.u.
- Total moment: 0.0 μB per formula unit
- E_tot: -5.64 eV/atom



Question: What is the E_tot in the third record?
Answer: -4.53 eV/atom